Here is crystalline K2InAs at its relaxed geometry from Alexandria via LeMat-Bulk. Energies are from PBE. Values from VASP.

```
&SYSTEM
  ibrav = 0, nat = 4, ntyp = 3
/
ATOMIC_SPECIES
K 39.10 K.upf
In 114.82 In.upf
As 74.92 As.upf
ATOMIC_POSITIONS angstrom
K 1.7705 2.6700 0.0000
K 1.7705 -2.6700 0.0000
In 0.0000 0.0000 1.6191
As 3.5410 0.0000 1.6191
CELL_PARAMETERS angstrom
3.5410 -5.3399 0.0000
3.5410 5.3399 0.0000
0.0000 0.0000 3.2382
```

Its formation energy is -0.01 eV per atom. Its calculated density is 3.633 g/cm3. Its size of the total moment is 0.00 μB/cell. As for the space group: Cmmm (65).

=====

Here is crystalline KIn2As at its relaxed geometry from Alexandria via LeMat-Bulk. Energies are from PBE. Values from VASP.

```
&SYSTEM
  ibrav = 0, nat = 4, ntyp = 3
/
ATOMIC_SPECIES
K 39.10 K.upf
In 114.82 In.upf
As 74.92 As.upf
ATOMIC_POSITIONS angstrom
K 0.0000 0.0000 0.0000
In 0.4219 2.5801 4.6170
In 1.8567 2.5801 1.8528
As 1.1393 0.0000 3.2349
CELL_PARAMETERS angstrom
3.3583 0.0000 0.0000
0.0000 5.1603 0.0000
-1.0797 0.0000 6.4698
```

Its formation energy is -0.06 eV per atom. Its calculated density is 5.090 g/cm3. Its size of the total moment is 0.00 μB/cell. As for the space group: P2/m (10).

=====

size of the total moment of number 1 (K2InAs)?
0.00 μB/cell

=====

Among the records above, which one has the highest calculated density?
KIn2As